Below is an optimized crystal structure of GeSb3, with properties calculated at the GGA-PBE level.

Cell: 6.7619 6.7619 5.2826 Å, 90.00 90.00 120.00°
Space group P6_3/mmc (No. 194)
Asymmetric unit:
Ge: 0.3333 0.6667 0.2500 [2 per cell]
Sb: 0.1808 0.3615 0.7500 [6 per cell]

Summary:
The magnetic moment is 0.00 μB/f.u. Its uncorrected formation energy is 0.30 eV per atom. Its total energy is -3.944 eV per atom.


Below is an optimized crystal structure of Ge2Sb, with properties calculated at the GGA-PBE level.

Cell: 8.127 8.127 8.127 Å, 90.00 90.00 90.00°
Space group Fd-3m (No. 227, origin choice 2)
Asymmetric unit:
Ge: 0.000 0.000 0.000 [16 per cell]
Sb: 0.125 0.125 0.625 [8 per cell]

Summary:
The magnetic moment is 0.00 μB/f.u. Its uncorrected formation energy is 0.39 eV per atom. Its total energy is -4.066 eV per atom.


Below is an optimized crystal structure of GeSb, with properties calculated at the GGA-PBE level.

Cell: 4.2438 4.2438 7.3900 Å, 90.00 90.00 120.00°
Space group P-3m1 (No. 164)
Asymmetric unit:
Ge: 0.0000 0.0000 0.1690 [2 per cell]
Sb: 0.3333 0.6667 0.6706 [2 per cell]

Summary:
The magnetic moment is 0.00 μB/f.u. Its uncorrected formation energy is 0.08 eV per atom. Its total energy is -4.290 eV per atom.


Below is an optimized crystal structure of GeSb, with properties calculated at the GGA-PBE level.

Cell: 8.849 8.849 8.849 Å, 90.00 90.00 90.00°
Space group I-43m (No. 217)
Asymmetric unit:
Ge: 0.154 0.154 0.154 [8 per cell]
Sb: 0.159 0.159 0.841 [8 per cell]

Summary:
The magnetic moment is 0.00 μB/f.u. Its uncorrected formation energy is 0.40 eV per atom. Its total energy is -3.973 eV per atom.


Below is an optimized crystal structure of GeSb, with properties calculated at the GGA-PBE level.

Cell: 11.079 11.079 3.946 Å, 90.00 90.00 90.00°
Space group I4/m (No. 87)
Asymmetric unit:
Ge: 0.098 0.225 0.000 [8 per cell]
Sb: 0.089 0.763 0.500 [8 per cell]

Summary:
The magnetic moment is 0.00 μB/f.u. Its uncorrected formation energy is 0.25 eV per atom. Its total energy is -4.120 eV per atom.


Below is an optimized crystal structure of Ge3Sb, with properties calculated at the GGA-PBE level.

Cell: 6.991 6.991 6.991 Å, 90.00 90.00 90.00°
Space group Fm-3m (No. 225)
Asymmetric unit:
Ge: 0.000 0.000 0.000 [4 per cell]
Ge: 0.250 0.250 0.250 [8 per cell]
Sb: 0.000 0.000 0.500 [4 per cell]

Summary:
The magnetic moment is 0.00 μB/f.u. Its uncorrected formation energy is 0.30 eV per atom. Its total energy is -4.193 eV per atom.


Below is an optimized crystal structure of GeSb, with properties calculated at the GGA-PBE level.

Cell: 4.1704 4.1704 8.4757 Å, 90.00 90.00 120.00°
Space group P6_3mc (No. 186)
Asymmetric unit:
Ge: 0.3333 0.6667 0.0000 [2 per cell]
Sb: 0.3333 0.6667 0.3505 [2 per cell]

Summary:
The magnetic moment is 0.00 μB/f.u. Its uncorrected formation energy is 0.17 eV per atom. Its total energy is -4.203 eV per atom.


Below is an optimized crystal structure of Ge3Sb, with properties calculated at the GGA-PBE level.

Cell: 4.308 4.615 4.725 Å, 90.00 90.00 90.00°
Space group Pmm2 (No. 25)
Asymmetric unit:
Ge: 0.000 0.000 0.000 [1 per cell]
Ge: 0.000 0.500 0.311 [1 per cell]
Ge: 0.500 0.500 0.967 [1 per cell]
Sb: 0.500 0.000 0.606 [1 per cell]

Summary:
The magnetic moment is 0.00 μB/f.u. Its uncorrected formation energy is 0.26 eV per atom. Its total energy is -4.234 eV per atom.


Below is an optimized crystal structure of ScGe2Sb4, with properties calculated at the GGA-PBE level.

Cell: 5.549 5.549 13.893 Å, 90.00 90.00 90.00°
Space group I4/mmm (No. 139)
Asymmetric unit:
Sc: 0.000 0.000 0.000 [2 per cell]
Ge: 0.000 0.000 0.401 [4 per cell]
Sb: 0.000 0.000 0.210 [4 per cell]
Sb: 0.000 0.500 0.000 [4 per cell]

Summary:
The magnetic moment is 0.00 μB/f.u. Its uncorrected formation energy is 0.27 eV per atom. Its total energy is -4.309 eV per atom.


Below is an optimized crystal structure of Sc2GeSb, with properties calculated at the GGA-PBE level.

Cell: 7.572 7.572 6.421 Å, 90.00 90.00 90.00°
Space group I-42d (No. 122)
Asymmetric unit:
Sc: 0.229 0.750 0.125 [8 per cell]
Ge: 0.000 0.000 0.000 [4 per cell]
Sb: 0.000 0.000 0.500 [4 per cell]

Summary:
The magnetic moment is 0.00 μB/f.u. Its uncorrected formation energy is -0.54 eV per atom. Its total energy is -5.887 eV per atom.


Below is an optimized crystal structure of Sc4GeSb, with properties calculated at the GGA-PBE level.

Cell: 8.097 12.573 5.710 Å, 90.00 113.65 90.00°
Space group C2/c (No. 15)
Asymmetric unit:
Sc: 0.105 0.184 0.066 [8 per cell]
Sc: 0.207 0.414 0.340 [8 per cell]
Ge: 0.000 0.001 0.750 [4 per cell]
Sb: 0.000 0.382 0.750 [4 per cell]

Summary:
The magnetic moment is 0.00 μB/f.u. Its uncorrected formation energy is -0.64 eV per atom. Its total energy is -6.322 eV per atom.


Below is an optimized crystal structure of Sc2GeSb, with properties calculated at the GGA-PBE level.

Cell: 4.143 21.870 3.950 Å, 90.00 90.00 90.00°
Space group Cmcm (No. 63)
Asymmetric unit:
Sc: 0.000 0.059 0.250 [4 per cell]
Sc: 0.000 0.325 0.250 [4 per cell]
Ge: 0.000 0.457 0.250 [4 per cell]
Sb: 0.000 0.190 0.250 [4 per cell]

Summary:
The magnetic moment is 0.00 μB/f.u. Its uncorrected formation energy is -0.83 eV per atom. Its total energy is -6.185 eV per atom.